[1]
Below is an optimized crystal structure of Ac2InN, with properties calculated at the PBE-GGA level.

Cell lengths 3.4219, 3.4219, 8.5394 Å; angles 90.00, 90.00, 90.00 degrees
Sites, in units of the cell vectors:
Ac1 0.0000 0.0000 0.1870
Ac2 0.0000 0.0000 0.8130
In1 0.5000 0.5000 0.5000
N1 0.5000 0.5000 0.0000

Properties
Theoretical density ... 9.679 g/cm³
DFT total energy ... -5.157 eV per atom
ΔE to the lowest computed polymorph ... 1.58 eV/f.u.
Formation energy (no corrections) ... -0.34 eV/atom

[2]
Below is an optimized crystal structure of Ac10In4N3, with properties calculated at the PBE-GGA level.

Cell lengths 19.6430, 19.6430, 19.6430 Å; angles 164.40, 164.40, 22.13 degrees
Sites, in units of the cell vectors:
Ac1 0.0000 0.5000 0.5000
Ac2 0.0689 0.0689 0.0000
Ac3 0.1393 0.6393 0.5000
Ac4 0.2122 0.2122 0.0000
Ac5 0.3607 0.8607 0.5000
Ac6 0.5000 0.0000 0.5000
Ac7 0.6393 0.1393 0.5000
Ac8 0.7878 0.7878 0.0000
Ac9 0.8607 0.3607 0.5000
Ac10 0.9311 0.9311 0.0000
In1 0.3024 0.3024 0.0000
In2 0.4322 0.4322 0.0000
In3 0.5678 0.5678 0.0000
In4 0.6976 0.6976 0.0000
N1 0.0000 0.0000 0.0000
N2 0.1439 0.1439 0.0000
N3 0.8561 0.8561 0.0000

Properties
Theoretical density ... 8.398 g/cm³
DFT total energy ... -5.166 eV per atom
Formation energy (no corrections) ... -0.64 eV/atom